Here is a geometry-optimized Ba4Ac2Au structure from Alexandria. Energies are from PBE.

```
7
Lattice="-2.4939 -4.1119 -4.2671 2.1688 -4.9417 3.4944 -8.1325 4.4005 5.3562" Properties=species:S:1:pos:R:3 pbc="T T T"
Au 0.0000 0.0000 0.0000
Ba 1.0844 -2.4708 1.7472
Ba -2.8047 -0.0427 1.6804
Ba -5.6530 -4.6104 2.9031
Ba -1.2470 -2.0559 -2.1335
Ac -6.4121 -0.0976 3.8417
Ac -2.0455 -4.5554 0.7418
```

Computed properties:
Its size of the total moment is 0.000 μB/f.u. As for the total energy: -2.603 eV/atom.

---

Here is a geometry-optimized LiAc2BeAu6 structure from Alexandria. Energies are from PBE.

```
10
Lattice="6.4550 0.0000 0.0010 0.0000 6.4550 0.0007 -3.2285 -3.2283 5.2253" Properties=species:S:1:pos:R:3 pbc="T T T"
Au -0.0010 0.0024 3.0894
Au 3.2276 3.2309 3.0004
Au 1.6818 -1.6807 4.8984
Au -1.6842 1.6852 4.8982
Au -1.6838 -1.6804 4.8989
Au 1.6822 1.6855 4.8979
Ac 3.2269 0.0031 2.1892
Ac -0.0002 3.2302 2.1891
Li 3.2278 3.2313 0.5560
Be -0.0005 0.0026 0.7312
```

Computed properties:
Its size of the total moment is 0.000 μB/f.u. As for the total energy: -3.960 eV/atom.

---

Repeat the first record exactly.
Here is a geometry-optimized Ba4Ac2Au structure from Alexandria. Energies are from PBE.

```
7
Lattice="-2.4939 -4.1119 -4.2671 2.1688 -4.9417 3.4944 -8.1325 4.4005 5.3562" Properties=species:S:1:pos:R:3 pbc="T T T"
Au 0.0000 0.0000 0.0000
Ba 1.0844 -2.4708 1.7472
Ba -2.8047 -0.0427 1.6804
Ba -5.6530 -4.6104 2.9031
Ba -1.2470 -2.0559 -2.1335
Ac -6.4121 -0.0976 3.8417
Ac -2.0455 -4.5554 0.7418
```

Computed properties:
Its size of the total moment is 0.000 μB/f.u. As for the total energy: -2.603 eV/atom.

---

What is the size of the total moment in the first record?
0.000 μB/f.u.